VASP calculation (PBE-GGA) on YAlZnSb2 after structural relaxation.

a = 5.138 Å, b = 5.138 Å, c = 5.404 Å
α = 90.00°, β = 90.00°, γ = 90.00°
Positions (direct):
Y 0.000 0.000 0.000
Al 0.500 0.500 0.000
Zn 0.000 0.000 0.500
Sb 0.000 0.500 0.500
Sb 0.500 0.000 0.500

Properties
The calculation puts the formation energy from raw total energies at 0.34 eV/atom. For the density of states at the Fermi level, the calculation gives 3.39 states/eV/cell.

---

VASP calculation (PBE-GGA) on Ba2UGe3Pt4 after structural relaxation.

a = 4.507 Å, b = 4.507 Å, c = 11.162 Å
α = 90.00°, β = 90.00°, γ = 90.00°
Positions (direct):
Ba 0.000 0.500 0.234
Ba 0.500 0.000 0.766
U 0.000 0.000 0.500
Ge 0.000 0.500 0.886
Ge 0.500 0.000 0.114
Ge 0.500 0.500 0.500
Pt 0.000 0.000 0.000
Pt 0.000 0.500 0.650
Pt 0.500 0.000 0.350
Pt 0.500 0.500 0.000

Properties
As for the energy of formation from the pure elements: -6.6 eV/f.u. For the density of states at the Fermi level, the calculation gives 12.33 states/eV/cell.